Density functional theory data (GGA-PBE) for AcGdCo4 after structural relaxation.

The structure belongs to space group F-43m (No. 216); the cell edges are 7.373, 7.373 and 7.373 Å and the angles 90.00°, 90.00° and 90.00°. The distinct sites, in fractional coordinates, are Ac at (0.000, 0.000, 0.000), Gd at (0.250, 0.250, 0.750) and Co at (0.124, 0.124, 0.376).

As for the total DFT energy (no corrections): -186.0 eV/cell. For the energy relative to the elements, the calculation gives 19 meV/atom.

Density functional theory data (GGA-PBE) for Ac2GdCo after structural relaxation.

The structure belongs to space group R-3m (No. 166, hexagonal axes); the cell edges are 3.9512, 3.9512 and 32.2182 Å and the angles 90.00°, 90.00° and 120.00°. The distinct sites, in fractional coordinates, are Ac at (0.0000, 0.0000, 0.1145), Gd at (0.0000, 0.0000, 0.0000) and Co at (0.0000, 0.0000, 0.5000).

The distance to the lowest polymorph of the same formula is 114.2 meV/atom. As for the total DFT energy (no corrections): -85.3 eV/cell. For the energy relative to the elements, the calculation gives 245 meV/atom.

Density functional theory data (GGA-PBE) for Ac2GdCo after structural relaxation.

The structure belongs to space group P4/mmm (No. 123); the cell edges are 3.722, 3.722 and 9.194 Å and the angles 90.00°, 90.00° and 90.00°. The distinct sites, in fractional coordinates, are Ac at (0.000, 0.000, 0.196), Gd at (0.500, 0.500, 0.500) and Co at (0.500, 0.500, 0.000).

The distance to the lowest polymorph of the same formula is 0.0 meV/atom. As for the total DFT energy (no corrections): -28.9 eV/cell. For the energy relative to the elements, the calculation gives 131 meV/atom.

Density functional theory data (GGA-PBE) for AcGdCoGe after structural relaxation.

The structure belongs to space group F-43m (No. 216); the cell edges are 7.336, 7.336 and 7.336 Å and the angles 90.00°, 90.00° and 90.00°. The distinct sites, in fractional coordinates, are Ac at (0.000, 0.000, 0.000), Gd at (0.000, 0.000, 0.500), Co at (0.250, 0.250, 0.750) and Ge at (0.250, 0.250, 0.250).

As for the total DFT energy (no corrections): -123.2 eV/cell. For the energy relative to the elements, the calculation gives -225 meV/atom.

Density functional theory data (GGA-PBE) for AcGdCoNi after structural relaxation.

The structure belongs to space group F-43m (No. 216); the cell edges are 7.047, 7.047 and 7.047 Å and the angles 90.00°, 90.00° and 90.00°. The distinct sites, in fractional coordinates, are Ac at (0.000, 0.000, 0.000), Gd at (0.000, 0.000, 0.500), Co at (0.250, 0.250, 0.750) and Ni at (0.250, 0.250, 0.250).

As for the total DFT energy (no corrections): -125.1 eV/cell. For the energy relative to the elements, the calculation gives -49 meV/atom.

Density functional theory data (GGA-PBE) for AcGdCoPd after structural relaxation.

The structure belongs to space group F-43m (No. 216); the cell edges are 7.207, 7.207 and 7.207 Å and the angles 90.00°, 90.00° and 90.00°. The distinct sites, in fractional coordinates, are Ac at (0.000, 0.000, 0.000), Gd at (0.000, 0.000, 0.500), Co at (0.250, 0.250, 0.750) and Pd at (0.250, 0.250, 0.250).

As for the total DFT energy (no corrections): -126.7 eV/cell. For the energy relative to the elements, the calculation gives -300 meV/atom.

Density functional theory data (GGA-PBE) for AcGdCoRh after structural relaxation.

The structure belongs to space group F-43m (No. 216); the cell edges are 7.121, 7.121 and 7.121 Å and the angles 90.00°, 90.00° and 90.00°. The distinct sites, in fractional coordinates, are Ac at (0.000, 0.000, 0.000), Gd at (0.000, 0.000, 0.500), Co at (0.250, 0.250, 0.750) and Rh at (0.250, 0.250, 0.250).

As for the total DFT energy (no corrections): -134.7 eV/cell. For the energy relative to the elements, the calculation gives -256 meV/atom.

Density functional theory data (GGA-PBE) for AcGdCoRu after structural relaxation.

The structure belongs to space group F-43m (No. 216); the cell edges are 7.090, 7.090 and 7.090 Å and the angles 90.00°, 90.00° and 90.00°. The distinct sites, in fractional coordinates, are Ac at (0.000, 0.000, 0.000), Gd at (0.000, 0.000, 0.500), Co at (0.250, 0.250, 0.250) and Ru at (0.250, 0.250, 0.750).

As for the total DFT energy (no corrections): -137.9 eV/cell. For the energy relative to the elements, the calculation gives 25 meV/atom.

Density functional theory data (GGA-PBE) for AcGdZnCo after structural relaxation.

The structure belongs to space group F-43m (No. 216); the cell edges are 7.294, 7.294 and 7.294 Å and the angles 90.00°, 90.00° and 90.00°. The distinct sites, in fractional coordinates, are Ac at (0.000, 0.000, 0.000), Gd at (0.000, 0.000, 0.500), Zn at (0.250, 0.250, 0.750) and Co at (0.250, 0.250, 0.250).

As for the total DFT energy (no corrections): -107.1 eV/cell. For the energy relative to the elements, the calculation gives -52 meV/atom.

Density functional theory data (GGA-PBE) for AcCo2Ge2 after structural relaxation.

The structure belongs to space group I4/mmm (No. 139); the cell edges are 4.201, 4.201 and 10.477 Å and the angles 90.00°, 90.00° and 90.00°. The distinct sites, in fractional coordinates, are Ac at (0.000, 0.000, 0.000), Co at (0.000, 0.500, 0.250) and Ge at (0.000, 0.000, 0.355).

The distance to the lowest polymorph of the same formula is 0.0 meV/atom. As for the total DFT energy (no corrections): -60.3 eV/cell. For the energy relative to the elements, the calculation gives -522 meV/atom.

Density functional theory data (GGA-PBE) for Ac2Co12Ge7 after structural relaxation.

The structure belongs to space group P-6 (No. 174); the cell edges are 9.4954, 9.4954 and 3.8839 Å and the angles 90.00°, 90.00° and 120.00°. The distinct sites, in fractional coordinates, are Ac at (0.0000, 0.0000, 0.0000), Ac at (0.3333, 0.6667, 0.5000), Co at (0.0367, 0.2799, 0.5000), Co at (0.1119, 0.7258, 0.0000), Co at (0.3908, 0.1948, 0.0000), Co at (0.5638, 0.1337, 0.5000), Ge at (0.0475, 0.4392, 0.0000), Ge at (0.2800, 0.2457, 0.5000) and Ge at (0.6667, 0.3333, 0.0000).

As for the total DFT energy (no corrections): -130.7 eV/cell. For the energy relative to the elements, the calculation gives -234 meV/atom.

Density functional theory data (GGA-PBE) for Ac3CoGe2 after structural relaxation.

The structure belongs to space group Pnma (No. 62); the cell edges are 12.560, 4.425 and 12.389 Å and the angles 90.00°, 90.00° and 90.00°. The distinct sites, in fractional coordinates, are Ac at (0.058, 0.250, 0.129), Ac at (0.115, 0.750, 0.554), Ac at (0.219, 0.250, 0.801), Co at (0.132, 0.250, 0.366), Ge at (0.030, 0.750, 0.317) and Ge at (0.201, 0.750, 0.992).

As for the total DFT energy (no corrections): -127.7 eV/cell. For the energy relative to the elements, the calculation gives -542 meV/atom.

Density functional theory data (GGA-PBE) for Ac4Co2Ge5 after structural relaxation.

The structure belongs to space group P2/m (No. 10); the cell edges are 7.315, 4.609 and 8.384 Å and the angles 90.00°, 93.69° and 90.00°. The distinct sites, in fractional coordinates, are Ac at (0.231, 0.000, 0.135), Ac at (0.250, 0.000, 0.624), Co at (0.071, 0.500, 0.387), Ge at (0.096, 0.500, 0.868), Ge at (0.396, 0.500, 0.369) and Ge at (0.500, 0.500, 0.000).

As for the total DFT energy (no corrections): -59.2 eV/cell. For the energy relative to the elements, the calculation gives -497 meV/atom.

Density functional theory data (GGA-PBE) for Ac12Co5Ge after structural relaxation.

The structure belongs to space group C2/m (No. 12); the cell edges are 7.432, 12.862 and 13.771 Å and the angles 90.00°, 100.49° and 90.00°. The distinct sites, in fractional coordinates, are Ac at (0.105, 0.000, 0.380), Ac at (0.138, 0.323, 0.380), Ac at (0.202, 0.500, 0.112), Ac at (0.206, 0.165, 0.112), Co at (0.000, 0.000, 0.000), Co at (0.000, 0.167, 0.500), Co at (0.000, 0.334, 0.000) and Ge at (0.000, 0.500, 0.500).

As for the total DFT energy (no corrections): -181.3 eV/cell. For the energy relative to the elements, the calculation gives -68 meV/atom.

Density functional theory data (GGA-PBE) for Ac6Co2Ge after structural relaxation.

The structure belongs to space group Immm (No. 71); the cell edges are 10.034, 10.706 and 10.839 Å and the angles 90.00°, 90.00° and 90.00°. The distinct sites, in fractional coordinates, are Ac at (0.000, 0.192, 0.229), Ac at (0.183, 0.500, 0.170), Ac at (0.214, 0.322, 0.500), Co at (0.000, 0.351, 0.000), Co at (0.000, 0.500, 0.394), Ge at (0.000, 0.000, 0.000) and Ge at (0.000, 0.000, 0.500).

As for the total DFT energy (no corrections): -178.5 eV/cell. For the energy relative to the elements, the calculation gives -128 meV/atom.

Density functional theory data (GGA-PBE) for AcCoGe after structural relaxation.

The structure belongs to space group P-6m2 (No. 187); the cell edges are 4.1906, 4.1906 and 4.5122 Å and the angles 90.00°, 90.00° and 120.00°. The distinct sites, in fractional coordinates, are Ac at (0.0000, 0.0000, 0.0000), Co at (0.3333, 0.6667, 0.5000) and Ge at (0.6667, 0.3333, 0.5000).

The distance to the lowest polymorph of the same formula is 62.7 meV/atom. As for the total DFT energy (no corrections): -17.2 eV/cell. For the energy relative to the elements, the calculation gives -447 meV/atom.

Density functional theory data (GGA-PBE) for Ac4CoGe2 after structural relaxation.

The structure belongs to space group I4/mmm (No. 139); the cell edges are 5.231, 5.231 and 16.990 Å and the angles 90.00°, 90.00° and 90.00°. The distinct sites, in fractional coordinates, are Ac at (0.000, 0.000, 0.180), Ac at (0.000, 0.500, 0.000), Co at (0.000, 0.000, 0.000) and Ge at (0.000, 0.000, 0.365).

The distance to the lowest polymorph of the same formula is 73.1 meV/atom. As for the total DFT energy (no corrections): -70.1 eV/cell. For the energy relative to the elements, the calculation gives -326 meV/atom.

Density functional theory data (GGA-PBE) for Ac8CoGe2 after structural relaxation.

The structure belongs to space group C2/m (No. 12); the cell edges are 19.887, 4.360 and 9.478 Å and the angles 90.00°, 95.96° and 90.00°. The distinct sites, in fractional coordinates, are Ac at (0.006, 0.000, 0.200), Ac at (0.096, 0.500, 0.537), Ac at (0.152, 0.500, 0.994), Ac at (0.220, 0.000, 0.342), Co at (0.000, 0.500, 0.000) and Ge at (0.173, 0.000, 0.748).

As for the total DFT energy (no corrections): -103.6 eV/cell. For the energy relative to the elements, the calculation gives -237 meV/atom.

Density functional theory data (GGA-PBE) for Ac4CoGe after structural relaxation.

The structure belongs to space group P2_1/m (No. 11); the cell edges are 6.061, 8.949 and 7.949 Å and the angles 90.00°, 98.34° and 90.00°. The distinct sites, in fractional coordinates, are Ac at (0.017, 0.250, 0.062), Ac at (0.094, 0.750, 0.484), Ac at (0.463, 0.044, 0.767), Co at (0.465, 0.750, 0.874) and Ge at (0.376, 0.250, 0.407).

As for the total DFT energy (no corrections): -58.4 eV/cell. For the energy relative to the elements, the calculation gives -174 meV/atom.

Density functional theory data (GGA-PBE) for AcCo2Ge2 after structural relaxation.

The structure belongs to space group Amm2 (No. 38); the cell edges are 4.012, 4.035 and 12.798 Å and the angles 90.00°, 90.00° and 90.00°. The distinct sites, in fractional coordinates, are Ac at (0.000, 0.000, 0.000), Co at (0.000, 0.000, 0.713), Co at (0.500, 0.000, 0.211), Ge at (0.000, 0.000, 0.304) and Ge at (0.500, 0.000, 0.617).

The distance to the lowest polymorph of the same formula is 209.2 meV/atom. As for the total DFT energy (no corrections): -58.2 eV/cell. For the energy relative to the elements, the calculation gives -313 meV/atom.